16
Lattice="-4.0846 4.0846 6.4690 4.0846 -4.0846 6.4690 4.0846 4.0846 -6.4690" Properties=species:S:1:pos:R:3 comment="PBE Tm5Hg2Pb, optimized geometry" space_group=I4/mcm pbc="T T T"
Hg -1.1452 2.9394 6.4690
Hg 1.1452 2.9394 0.0000
Hg 2.9394 1.1452 6.4690
Hg 5.2297 1.1452 0.0000
Pb 0.0000 0.0000 3.2345
Pb 0.0000 0.0000 9.7035
Tm 0.0000 0.0000 0.0000
Tm 0.0000 0.0000 6.4690
Tm 2.8342 -1.2504 4.5562
Tm 2.8342 -1.2504 8.3818
Tm 2.8342 1.2504 -1.9128
Tm 2.8342 1.2504 1.9128
Tm 1.2504 2.8342 4.5562
Tm 1.2504 2.8342 8.3818
Tm 1.2504 5.3349 -1.9128
Tm 1.2504 5.3349 1.9128

---

96
Lattice="-4.9555 8.4556 5.7160 0.2127 -6.2497 9.4295 20.7147 2.9597 1.4945" Properties=species:S:1:pos:R:3 comment="PBE NaAuCl4, optimized geometry" space_group=P2_1/c pbc="T T T"
Au -1.8127 0.0015 11.8854
Au -3.3239 5.5722 9.0708
Au 3.6257 -3.6075 8.2324
Au 1.2558 2.6917 8.3724
Au 4.4597 -1.9730 11.9968
Au 2.0052 6.8119 8.3864
Au 8.9982 -3.6436 9.4731
Au 7.4792 2.1549 6.3148
Au 8.4926 3.0107 10.3252
Au 6.9736 8.8092 7.1669
Au 13.9667 -1.6464 8.2535
Au 11.5122 7.1385 4.6432
Au 14.7161 2.4738 8.2675
Au 12.3462 8.7730 8.4076
Au 19.2958 -0.4066 7.5692
Au 17.7845 5.1641 4.7546
Cl -0.8388 -1.5762 7.4389
Cl -0.7050 1.6119 2.9005
Cl -1.8133 0.9886 9.7946
Cl -3.2650 4.1913 10.9321
Cl -3.4011 6.9883 7.2381
Cl -1.9480 5.2538 4.5562
Cl 2.1211 -4.9802 9.3551
Cl -0.2736 3.1088 6.6795
Cl 2.2551 -1.0536 4.6465
Cl 0.3818 -0.6657 11.5441
Cl 2.5351 -1.7581 9.1233
Cl -0.2349 2.9882 13.1069
Cl 2.1705 1.0430 7.0268
Cl 0.2624 4.3155 9.6842
Cl 2.7368 2.8887 3.6755
Cl 0.4556 7.2317 6.7011
Cl 5.1127 -2.1873 7.1416
Cl 2.8285 2.2438 10.0343
Cl 5.2471 2.4567 1.5515
Cl 3.5376 -0.1104 13.0198
Cl 5.8788 -0.1667 4.0897
Cl 3.0846 5.2934 6.9963
Cl 5.2895 2.6836 6.8650
Cl 3.4221 2.8966 14.0266
Cl 5.9262 -0.5451 10.9061
Cl 3.5724 6.3446 10.0400
Cl 7.4884 0.6084 8.0527
Cl 8.9885 -2.5067 7.4538
Cl 8.8137 1.4295 2.0410
Cl 7.3939 3.6950 4.5925
Cl 6.2701 3.5265 10.8005
Cl 6.3995 6.8434 6.0678
Cl 9.5723 -1.6778 10.5722
Cl 9.7018 1.6391 5.8395
Cl 8.5780 1.4705 12.0475
Cl 7.1582 3.7361 14.5990
Cl 6.9834 7.6723 9.1862
Cl 8.4834 4.5572 8.5873
Cl 12.3995 -1.1790 6.6000
Cl 10.0456 5.7107 5.7338
Cl 12.5498 2.2690 2.6134
Cl 10.6824 2.4820 9.7749
Cl 12.8873 -0.1279 9.6437
Cl 10.0931 5.3323 12.5502
Cl 12.4342 5.2759 3.6202
Cl 10.7248 2.7089 15.0884
Cl 13.1433 2.9218 6.6056
Cl 10.8591 7.3528 9.4984
Cl 15.5163 -2.0662 9.9389
Cl 13.2351 2.2769 12.9644
Cl 15.7095 0.8500 6.9557
Cl 13.8013 4.1226 9.6132
Cl 16.2067 2.1774 3.5330
Cl 13.4368 6.9237 7.5166
Cl 15.5901 5.8313 5.0958
Cl 13.7167 6.2192 11.9935
Cl 16.2454 2.0568 9.9605
Cl 13.8507 10.1458 7.2849
Cl 17.9199 -0.0882 12.0838
Cl 19.3729 -1.8227 9.4019
Cl 19.2369 0.9743 5.7078
Cl 17.7852 4.1770 6.8453
Cl 16.6769 3.5537 13.7394
Cl 16.8107 6.7418 9.2010
Na 0.0177 -3.0585 9.8230
Na -0.2264 0.3205 5.4352
Na 1.0080 5.0128 4.9097
Na 3.5624 0.3803 2.4462
Na 2.0170 4.3362 11.8913
Na 4.5506 0.3154 8.5048
Na 5.8980 1.6863 12.9906
Na 5.6491 5.2084 8.3869
Na 10.3228 -0.0428 8.2531
Na 10.0738 3.4792 3.6494
Na 11.4213 4.8501 8.1352
Na 13.9549 0.8293 4.7487
Na 12.4094 4.7853 14.1938
Na 14.9638 0.1528 11.7302
Na 16.1983 4.8450 11.2048
Na 15.9541 8.2240 6.8170

---

3
Lattice="0.0000 3.5207 3.5207 3.5207 0.0000 3.5207 3.5207 3.5207 0.0000" Properties=species:S:1:pos:R:3 comment="PBE UAsPb, optimized geometry" de_polymorph_mev_per_atom=105 space_group=F-43m pbc="T T T"
As 0.0000 0.0000 0.0000
Pb 3.5207 3.5207 3.5207
U 1.7604 1.7604 1.7604

---

8
Lattice="-6.0783 0.4921 2.3331 -1.6352 -1.6669 -3.9084 3.4007 -5.5090 0.9268" Properties=species:S:1:pos:R:3 comment="PBE PrGa3, optimized geometry" space_group=P2_1/m pbc="T T T"
Ga -2.0736 -1.4649 -1.1594
Ga -5.5545 -1.1859 0.1779
Ga 0.1131 -1.5032 0.5938
Ga -3.6050 -4.3476 0.7107
Ga 2.0582 -4.6656 1.1287
Ga -1.4241 -4.3838 2.4654
Pr -2.9129 -1.5164 1.8654
Pr -0.5819 -4.3340 -0.5599

---

9
Lattice="4.0624 0.0000 0.0000 0.0000 6.7910 3.9199 0.0000 -6.7910 3.9199" Properties=species:S:1:pos:R:3 comment="PBE PrNd2In3Pd2Au, optimized geometry" space_group=Amm2 pbc="T T T"
Au 0.0000 0.0000 0.0036
In 2.0312 5.0154 2.9016
In 2.0312 0.0000 2.0389
In 2.0312 -5.0154 2.9016
Nd 0.0000 2.7888 1.6098
Nd 0.0000 -2.7888 1.6098
Pd 2.0312 2.2725 3.9178
Pd 2.0312 -2.2725 3.9178
Pr 0.0000 0.0000 4.6188

---

12
Lattice="-5.7725 4.2041 -3.1622 -0.8802 -2.9895 -2.3676 -3.4855 -5.1813 7.8380" Properties=species:S:1:pos:R:3 comment="PBE TlCuTeS3, optimized geometry" space_group=P2_1/m pbc="T T T"
Cu -3.8126 1.1965 -1.7107
Cu -6.3257 -5.1632 4.0189
S -5.1616 0.5309 -3.6035
S -4.6747 -0.0096 0.1327
S -1.8419 -2.3560 2.0422
S -8.2964 -1.6107 0.2660
S -5.4636 -3.9571 2.1755
S -4.9766 -4.4976 5.9117
Te -6.5696 -0.5722 -1.6872
Te -3.5686 -3.3945 3.9954
Tl -2.6830 -2.1766 -1.1064
Tl -7.4552 -1.7901 3.4146

---

| no. | total energy (eV per atom) | calculated density (Mg/m³) |
| --- | --- | --- |
| 1 | -3.744 | 11.2 |
| 2 | -2.811 | 3.7 |
| 3 | -6.261 | 9.9 |
| 4 | -4.048 | 6.9 |
| 5 | -4.771 | 9.1 |
| 6 | -3.717 | 5.7 |